[1]
Computed, not measured: crystalline Tc2RhSe at its relaxed geometry at the PBE level of DFT.

Results
As for the symmetry: No. 216. As for the theoretical density: 10.27 g/cm3. The value obtained for the formation energy from raw total energies is 0.4650 eV/atom. The uncorrected energy is -7.4270 eV/atom.

Lattice parameters (Å, degrees): 4.421 4.421 4.421 60.00 60.00 60.00
Element x y z (fractional)
Tc (0.000, 0.000, 0.000)
Tc (0.250, 0.250, 0.250)
Rh (0.500, 0.500, 0.500)
Se (0.750, 0.750, 0.750)


[2]
Computed, not measured: crystalline SnHPdAu2 at its relaxed geometry at the PBE level of DFT.

Results
As for the symmetry: No. 123. As for the theoretical density: 13.16 g/cm3. The uncorrected energy is -3.7890 eV/atom.

Lattice parameters (Å, degrees): 4.505 4.505 3.857 90.00 90.00 90.00
Element x y z (fractional)
Sn (0.000, 0.000, 0.000)
H (0.500, 0.500, 0.500)
Pd (0.500, 0.500, 0.000)
Au (0.000, 0.500, 0.500)
Au (0.500, 0.000, 0.500)


[3]
Computed, not measured: crystalline TaTe4Au at its relaxed geometry at the PBE level of DFT.

Results
As for the symmetry: No. 15. As for the theoretical density: 8.71 g/cm3. The value obtained for the formation energy from raw total energies is -0.0658 eV/atom. The energy above the most stable polymorph in this dataset comes out at 0.000 eV/atom. The uncorrected energy is -4.6819 eV/atom.

Lattice parameters (Å, degrees): 9.037 9.037 6.120 108.45 108.45 119.47
Element x y z (fractional)
Ta (0.047, 0.953, 0.750)
Ta (0.953, 0.047, 0.250)
Te (0.011, 0.621, 0.763)
Te (0.217, 0.330, 0.828)
Te (0.330, 0.217, 0.328)
Te (0.379, 0.989, 0.737)
Te (0.621, 0.011, 0.263)
Te (0.670, 0.783, 0.672)
Te (0.783, 0.670, 0.172)
Te (0.989, 0.379, 0.237)
Au (0.304, 0.696, 0.250)
Au (0.696, 0.304, 0.750)


[4]
Computed, not measured: crystalline PuPaN at its relaxed geometry at the PBE level of DFT.

Results
As for the symmetry: No. 156. As for the theoretical density: 16.36 g/cm3. The value obtained for the formation energy from raw total energies is -0.7626 eV/atom. The energy above the most stable polymorph in this dataset comes out at 0.000 eV/atom. The uncorrected energy is -11.4803 eV/atom.

Lattice parameters (Å, degrees): 3.491 3.491 4.701 90.00 90.00 120.00
Element x y z (fractional)
Pu (0.000, 0.000, 0.000)
Pa (0.333, 0.667, 0.400)
N (0.667, 0.333, 0.696)


[5]
Computed, not measured: crystalline MgSbAs2Br at its relaxed geometry at the PBE level of DFT.

Results
As for the symmetry: No. 123. As for the theoretical density: 4.31 g/cm3. The value obtained for the formation energy from raw total energies is 0.8980 eV/atom. The energy above the most stable polymorph in this dataset comes out at 0.552 eV/atom. The uncorrected energy is -2.4398 eV/atom.

Lattice parameters (Å, degrees): 5.114 5.114 5.531 90.00 90.00 90.00
Element x y z (fractional)
Mg (0.000, 0.000, 0.000)
Sb (0.500, 0.500, 0.000)
As (0.000, 0.500, 0.500)
As (0.500, 0.000, 0.500)
Br (0.500, 0.500, 0.500)


[6]
Computed, not measured: crystalline Pm4NiPd2 at its relaxed geometry at the PBE level of DFT.

Results
As for the symmetry: No. 12. As for the theoretical density: 7.68 g/cm3. The calculation puts the energy relative to the elements at -498 meV per atom. The energy above the most stable polymorph in this dataset comes out at 0.000 eV/atom. The uncorrected energy is -5.5220 eV/atom.

Lattice parameters (Å, degrees): 7.397 7.397 5.904 104.15 104.15 36.12
Element x y z (fractional)
Pm (0.086, 0.086, 0.274)
Pm (0.345, 0.345, 0.200)
Pm (0.655, 0.655, 0.800)
Pm (0.914, 0.914, 0.726)
Ni (0.500, 0.500, 0.000)
Pd (0.271, 0.271, 0.673)
Pd (0.729, 0.729, 0.327)


Copy entry 1 word for word.
Computed, not measured: crystalline Tc2RhSe at its relaxed geometry at the PBE level of DFT.

Results
As for the symmetry: No. 216. As for the theoretical density: 10.27 g/cm3. The value obtained for the formation energy from raw total energies is 0.4650 eV/atom. The uncorrected energy is -7.4270 eV/atom.

Lattice parameters (Å, degrees): 4.421 4.421 4.421 60.00 60.00 60.00
Element x y z (fractional)
Tc (0.000, 0.000, 0.000)
Tc (0.250, 0.250, 0.250)
Rh (0.500, 0.500, 0.500)
Se (0.750, 0.750, 0.750)


- Look up the theoretical density of the first one.
  10.27 g/cm3